[1]
# Ba2SrTa (PBE-GGA, relaxed)
# Total magnetization in Bohr magnetons per cell: 7.11
# DOS at the Fermi energy in states/eV per cell: 12.25
# DFT total energy in eV for the cell shown: -27.10
# Polymorph energy (0 for the lowest one) in meV/atom: 127.4
data_Ba2SrTa
_cell_length_a 5.890
_cell_length_b 5.890
_cell_length_c 9.313
_cell_angle_alpha 90.00
_cell_angle_beta 90.00
_cell_angle_gamma 90.00
_symmetry_space_group_name_H-M 'I -4 m 2'
_symmetry_Int_Tables_number 119
_symmetry_space_group_name_Hall 'I -4 -2'
loop_
_atom_site_label
_atom_site_type_symbol
_atom_site_fract_x
_atom_site_fract_y
_atom_site_fract_z
_atom_site_occupancy
Ba1 Ba 0.000 0.000 0.000 1
Ba2 Ba 0.000 0.500 0.250 1
Sr1 Sr 0.000 0.500 0.750 1
Ta1 Ta 0.000 0.000 0.500 1

[2]
# Ge2Bi3Pt4 (PBE-GGA, relaxed)
# Total magnetization in Bohr magnetons per cell: 0.00
# DOS at the Fermi energy in states/eV per cell: 7.09
# DFT total energy in eV for the cell shown: -95.22
data_Ge2Bi3Pt4
_cell_length_a 11.568
_cell_length_b 4.019
_cell_length_c 8.646
_cell_angle_alpha 90.00
_cell_angle_beta 104.31
_cell_angle_gamma 90.00
_symmetry_space_group_name_H-M 'C 1 2/m 1'
_symmetry_Int_Tables_number 12
loop_
_symmetry_equiv_pos_as_xyz
'x,y,z'
'-x,-y,-z'
'-x,y,-z'
'x,-y,z'
'x+1/2,y+1/2,z'
'-x+1/2,-y+1/2,-z'
'-x+1/2,y+1/2,-z'
'x+1/2,-y+1/2,z'
loop_
_atom_site_label
_atom_site_type_symbol
_atom_site_fract_x
_atom_site_fract_y
_atom_site_fract_z
_atom_site_occupancy
Ge1 Ge 0.162 0.000 0.302 1
Bi1 Bi 0.000 0.500 0.500 1
Bi2 Bi 0.128 0.000 0.893 1
Pt1 Pt 0.054 0.500 0.164 1
Pt2 Pt 0.205 0.000 0.604 1

[3]
# CrTe2As (PBE-GGA, relaxed)
# Total magnetization in Bohr magnetons per cell: 0.00
# DOS at the Fermi energy in states/eV per cell: 25.55
# DFT total energy in eV for the cell shown: -73.54
# Uncorrected formation energy in eV/atom: 0.54
data_CrTe2As
_cell_length_a 6.355
_cell_length_b 6.355
_cell_length_c 11.608
_cell_angle_alpha 90.00
_cell_angle_beta 90.00
_cell_angle_gamma 90.00
_symmetry_space_group_name_H-M 'I -4 2 d'
_symmetry_Int_Tables_number 122
_symmetry_space_group_name_Hall 'I -4 2bw'
loop_
_atom_site_label
_atom_site_type_symbol
_atom_site_fract_x
_atom_site_fract_y
_atom_site_fract_z
_atom_site_occupancy
Cr1 Cr 0.000 0.000 0.000 1
Te1 Te 0.201 0.250 0.125 1
As1 As 0.000 0.000 0.500 1

[4]
# LiBPb2S4 (PBE-GGA, relaxed)
# Total magnetization in Bohr magnetons per cell: 0.00
# DFT total energy in eV for the cell shown: -141.36
# Uncorrected formation energy in eV/atom: -0.35
data_LiBPb2S4
_cell_length_a 13.773
_cell_length_b 9.625
_cell_length_c 8.708
_cell_angle_alpha 90.00
_cell_angle_beta 128.37
_cell_angle_gamma 90.00
_symmetry_space_group_name_H-M 'C 1 2/c 1'
_symmetry_Int_Tables_number 15
loop_
_symmetry_equiv_pos_as_xyz
'x,y,z'
'-x,-y,-z'
'-x,y,-z+1/2'
'x,-y,z+1/2'
'x+1/2,y+1/2,z'
'-x+1/2,-y+1/2,-z'
'-x+1/2,y+1/2,-z+1/2'
'x+1/2,-y+1/2,z+1/2'
loop_
_atom_site_label
_atom_site_type_symbol
_atom_site_fract_x
_atom_site_fract_y
_atom_site_fract_z
_atom_site_occupancy
Li1 Li 0.250 0.250 0.000 1
B1 B 0.000 0.000 0.000 1
Pb1 Pb 0.000 0.500 0.000 1
Pb2 Pb 0.250 0.250 0.500 1
S1 S 0.002 0.171 0.042 1
S2 S 0.178 0.475 0.924 1

[5]
# AcPrGa (PBE-GGA, relaxed)
# Total magnetization in Bohr magnetons per cell: 0.00
# DOS at the Fermi energy in states/eV per cell: 9.23
# DFT total energy in eV for the cell shown: -24.43
# Polymorph energy (0 for the lowest one) in meV/atom: 240.0
data_AcPrGa
_cell_length_a 3.8540
_cell_length_b 3.8540
_cell_length_c 16.7754
_cell_angle_alpha 90.00
_cell_angle_beta 90.00
_cell_angle_gamma 120.00
_symmetry_space_group_name_H-M 'P 63 m c'
_symmetry_Int_Tables_number 186
_symmetry_space_group_name_Hall 'P 6c -2c'
loop_
_atom_site_label
_atom_site_type_symbol
_atom_site_fract_x
_atom_site_fract_y
_atom_site_fract_z
_atom_site_occupancy
Ac1 Ac 0.3333 0.6667 0.0000 1
Pr1 Pr 0.3333 0.6667 0.7649 1
Ga1 Ga 0.0000 0.0000 0.1389 1

[6]
# Tl4In2HgBi2 (PBE-GGA, relaxed)
# Total magnetization in Bohr magnetons per cell: 0.00
# DOS at the Fermi energy in states/eV per cell: 3.72
# DFT total energy in eV for the cell shown: -22.89
data_Tl4In2HgBi2
_cell_length_a 6.332
_cell_length_b 6.650
_cell_length_c 7.755
_cell_angle_alpha 71.02
_cell_angle_beta 68.54
_cell_angle_gamma 86.08
_symmetry_space_group_name_H-M 'P -1'
_symmetry_Int_Tables_number 2
loop_
_symmetry_equiv_pos_as_xyz
'x,y,z'
'-x,-y,-z'
loop_
_atom_site_label
_atom_site_type_symbol
_atom_site_fract_x
_atom_site_fract_y
_atom_site_fract_z
_atom_site_occupancy
Tl1 Tl 0.112 0.190 0.274 1
Tl2 Tl 0.312 0.641 0.378 1
In1 In 0.332 0.626 0.879 1
Hg1 Hg 0.500 0.000 0.500 1
Bi1 Bi 0.091 0.231 0.825 1